A relaxed CoSiNi2O6 crystal, computed with GGA+U.

Cell lengths 5.5063, 5.5063, 3.6492 Å; angles 90.00, 90.00, 90.00 degrees
Sites, in units of the cell vectors:
Co  0.0000  0.0000  0.0000
Si  0.5000  0.5000  0.0489
Ni  0.0000  0.5000  0.1880
Ni  0.5000  0.0000  0.1880
O  0.0000  0.0000  0.5320
O  0.2713  0.2713  0.0826
O  0.2713  0.7287  0.0826
O  0.5000  0.5000  0.5697
O  0.7287  0.2713  0.0826
O  0.7287  0.7287  0.0826

raw total energy	-5.59	eV/atom